Entry 1:
{
  "formula": "Ac2Al4Hg3Pd",
  "functional": "PBE-GGA",
  "state": "optimized geometry",
  "cell": [[-3.7152, -2.5804, 0.8068], [1.3187, -2.9266, -3.2876], [5.6752, -5.8354, 7.4708]],
  "species": ["Ac", "Ac", "Al", "Al", "Al", "Al", "Hg", "Hg", "Hg", "Pd"],
  "frac_coords": [[0.5000, 0.0000, 0.2572], [0.0000, 0.5000, 0.7428], [0.5000, 0.5000, 0.0000], [0.0000, 0.0000, 0.0000], [0.5000, 0.0000, 0.6185], [0.0000, 0.5000, 0.3815], [0.0000, 0.0000, 0.5000], [0.5000, 0.0000, 0.8625], [0.0000, 0.5000, 0.1375], [0.5000, 0.5000, 0.5000]],
  "n_ef_per_ev_cell": 5.1,
  "magnetic_moment_mub_per_fu": 0.00,
  "e_tot_ha_per_atom": -0.1245
}

---

Entry 2:
{
  "formula": "Tc2MoAs",
  "functional": "PBE-GGA",
  "state": "optimized geometry",
  "cell": [[5.1720, 0.0018, 0.0001], [2.3822, 4.5907, -0.0001], [-3.2552, -3.1548, 2.4901]],
  "species": ["As", "Mo", "Tc", "Tc"],
  "frac_coords": [[0.7500, 0.2500, 0.5000], [0.2500, 0.7500, 0.5000], [0.9773, 0.9773, 0.0000], [0.5227, 0.5227, 0.0000]],
  "n_ef_per_ev_cell": 3.2,
  "magnetic_moment_mub_per_fu": 0.00,
  "e_tot_ha_per_atom": -0.3329
}

---

Entry 3:
{
  "formula": "Hf2TaVC4",
  "functional": "PBE-GGA",
  "state": "optimized geometry",
  "cell": [[3.1611, 0.0000, 0.0000], [-1.5805, 5.6703, 0.0000], [0.0000, 0.0000, 10.7746]],
  "species": ["Hf", "Hf", "Hf", "Hf", "Ta", "Ta", "V", "V", "C", "C", "C", "C", "C", "C", "C", "C"],
  "frac_coords": [[0.3652, 0.7304, 0.5229], [0.6348, 0.2696, 0.0229], [0.6348, 0.2696, 0.4771], [0.3652, 0.7304, 0.9771], [0.1770, 0.3539, 0.7500], [0.8230, 0.6461, 0.2500], [0.9179, 0.8357, 0.7500], [0.0821, 0.1643, 0.2500], [0.2341, 0.4683, 0.1323], [0.7659, 0.5317, 0.6323], [0.7659, 0.5317, 0.8677], [0.2341, 0.4683, 0.3677], [0.0000, 0.0000, 0.5000], [0.0000, 0.0000, 0.0000], [0.5242, 0.0484, 0.7500], [0.4758, 0.9516, 0.2500]],
  "n_ef_per_ev_cell": 3.7,
  "magnetic_moment_mub_per_fu": 0.00,
  "e_tot_ha_per_atom": -0.3688
}

---

Entry 4:
{
  "formula": "Y7SbAs5",
  "functional": "PBE-GGA",
  "state": "optimized geometry",
  "cell": [[4.1463, -0.0010, 0.0000], [-2.0747, 6.7794, 0.0089], [0.0000, -0.0268, 24.3103]],
  "species": ["Y", "Y", "Y", "Y", "Y", "Y", "Y", "Y", "Y", "Y", "Y", "Y", "Y", "Y", "Sb", "Sb", "As", "As", "As", "As", "As", "As", "As", "As", "As", "As"],
  "frac_coords": [[0.4682, 0.9364, 0.2500], [0.5324, 0.0648, 0.7500], [0.6366, 0.2732, 0.0348], [0.3640, 0.7280, 0.9652], [0.3639, 0.7278, 0.5348], [0.6366, 0.2732, 0.4652], [0.1761, 0.3521, 0.1749], [0.8246, 0.6491, 0.8251], [0.8244, 0.6488, 0.6749], [0.1762, 0.3523, 0.3251], [0.9091, 0.8182, 0.1053], [0.0914, 0.1829, 0.8947], [0.0913, 0.1826, 0.6053], [0.9092, 0.8184, 0.3947], [0.7991, 0.5982, 0.2499], [0.2015, 0.4030, 0.7500], [0.0003, 0.0006, 0.0000], [0.7283, 0.4566, 0.9267], [0.2723, 0.5446, 0.0733], [0.5434, 0.0870, 0.3572], [0.4571, 0.9141, 0.6428], [0.0002, 0.0005, 0.5000], [0.2723, 0.5447, 0.4267], [0.7282, 0.4563, 0.5733], [0.4573, 0.9145, 0.8572], [0.5433, 0.0867, 0.1428]],
  "n_ef_per_ev_cell": 9.5,
  "magnetic_moment_mub_per_fu": 0.29,
  "e_form_raw_kj_per_mol_atoms": -134.5
}

---

Entry 5:
{
  "formula": "LiLu2Cd",
  "functional": "PBE-GGA",
  "state": "optimized geometry",
  "cell": [[3.3648, 0.0000, 0.0000], [1.6824, 2.9140, 0.0000], [1.6824, 0.9713, 11.3145]],
  "species": ["Lu", "Lu", "Li", "Cd"],
  "frac_coords": [[0.0923, 0.0923, 0.7231], [0.9077, 0.9077, 0.2769], [0.0000, 0.0000, 0.0000], [0.5000, 0.5000, 0.5000]],
  "n_ef_per_ev_cell": 4.2,
  "relative_energy_mev_per_atom": 236,
  "magnetic_moment_mub_per_fu": 0.00
}

---

Entry 6:
{
  "formula": "Y4CoHg",
  "functional": "PBE-GGA",
  "state": "optimized geometry",
  "cell": [[0.0000, 4.3505, 4.3505], [4.3505, 0.0000, 4.3505], [4.3505, 4.3505, 0.0000]],
  "species": ["Y", "Y", "Y", "Y", "Co", "Hg"],
  "frac_coords": [[0.8743, 0.3752, 0.3752], [0.3752, 0.3752, 0.8743], [0.3752, 0.8743, 0.3752], [0.3752, 0.3752, 0.3752], [0.7500, 0.7500, 0.7500], [0.0000, 0.0000, 0.0000]],
  "n_ef_per_ev_cell": 6.8,
  "relative_energy_mev_per_atom": 938,
  "magnetic_moment_mub_per_fu": 1.98
}